*one*
TaFeTe2N | PBE | optimized geometry

```
TaFeTe2N
1.0
-0.1236 5.5390 -0.3072
-3.9687 0.1265 3.8761
2.7042 0.2135 2.7618
N Te Fe Ta
1 2 1 1
Direct
0.0000 0.0000 0.5000
0.0000 0.5000 0.0000
0.5000 0.0000 0.0000
0.5000 0.5000 0.5000
0.0000 0.0000 0.0000
```

*two*
TaFeTe2N | PBE | optimized geometry

```
TaFeTe2N
1.0
5.1945 0.0000 0.0000
0.0000 5.1945 0.0000
0.0000 0.0000 3.4127
N Te Fe Ta
1 2 1 1
Direct
0.0000 0.0000 0.5000
0.0000 0.5000 0.0000
0.5000 0.0000 0.0000
0.0000 0.0000 0.0000
0.5000 0.5000 0.5000
```

Looking at the structures above, which would you pick as the most stable? I would pick *one*.